The following is a DFT calculation (PBE) of a relaxed structure of BaAcSiBr.

Lattice parameters (Å, degrees): 8.6180 8.6180 8.6180 31.34 31.34 31.34
Fractional positions:
Ba1 0.0000 0.0000 0.0000
Ac1 0.1936 0.1936 0.1936
Si1 0.5882 0.5882 0.5882
Br1 0.7668 0.7668 0.7668

- Magnetic moment: 0.00 μB/f.u.
- E_form (uncorrected): -1.019 eV/atom
- Energy: -4.30 eV/atom
- Mass density: 5.10 g/cm3